Record 1
DFT (PBE) results for Rb3Na3BeF8 after structural relaxation.

Properties
formation energy without anion corrections	-61.7	kcal/mol of atoms
D(E_F)	0.000	states/eV/cell

a = 6.8300 Å, b = 6.8300 Å, c = 18.7149 Å
α = 90.00°, β = 90.00°, γ = 120.00°
Space group R-3m (No. 166, hexagonal axes)
Inequivalent atoms, fractional coordinates:
Rb 0.0000 0.5000 0.0000 (multiplicity 9)
Na 0.0000 0.5000 0.5000 (multiplicity 9)
Be 0.0000 0.0000 0.5000 (multiplicity 3)
F 0.0000 0.0000 0.2319 (multiplicity 6)
F 0.0713 0.5357 0.2223 (multiplicity 18)

=====

Record 2
DFT (PBE) results for SrRhBr2 after structural relaxation.

Properties
formation energy without anion corrections	-16.4	kcal/mol of atoms
D(E_F)	1.947	states/eV/cell

a = 3.718 Å, b = 3.718 Å, c = 8.092 Å
α = 90.00°, β = 90.00°, γ = 90.00°
Space group P4mm (No. 99)
Inequivalent atoms, fractional coordinates:
Sr 0.000 0.000 0.000 (multiplicity 1)
Rh 0.500 0.500 0.702 (multiplicity 1)
Br 0.000 0.000 0.638 (multiplicity 1)
Br 0.500 0.500 0.204 (multiplicity 1)

=====

Record 3
DFT (PBE) results for Li2AlIr after structural relaxation.

Properties
D(E_F)	3.303	states/eV/cell
E_form	-192	meV per atom

a = 2.981 Å, b = 4.642 Å, c = 8.932 Å
α = 90.00°, β = 90.00°, γ = 90.00°
Space group Cmm2 (No. 35)
Inequivalent atoms, fractional coordinates:
Li 0.000 0.000 0.000 (multiplicity 2)
Li 0.000 0.500 0.290 (multiplicity 2)
Al 0.000 0.500 0.748 (multiplicity 2)
Ir 0.000 0.000 0.524 (multiplicity 2)

=====

Record 4
DFT (PBE) results for LiBe2Re after structural relaxation.

Properties
D(E_F)	5.216	states/eV/cell
E_form	234	meV per atom

a = 2.6526 Å, b = 2.6526 Å, c = 25.0046 Å
α = 90.00°, β = 90.00°, γ = 120.00°
Space group R-3m (No. 166, hexagonal axes)
Inequivalent atoms, fractional coordinates:
Li 0.0000 0.0000 0.0000 (multiplicity 3)
Be 0.0000 0.0000 0.2459 (multiplicity 6)
Re 0.0000 0.0000 0.5000 (multiplicity 3)

=====

Number 1: raw total energy -65.7 eV per formula unit. Number 2: raw total energy -15.2 eV per formula unit. Number 3: raw total energy -17.2 eV per formula unit. Number 4: raw total energy -20.9 eV per formula unit.